Below is a geometry-optimized CoSnO3 structure, with properties calculated at the GGA+U level.

Unit cell a=3.728 b=3.728 c=3.728 alpha=90.00 beta=90.00 gamma=90.00
Element x y z (fractional)
Co1 0.000 0.000 0.000
Sn1 0.500 0.500 0.500
O1 0.000 0.000 0.500
O2 0.000 0.500 0.000
O3 0.500 0.000 0.000

Computed properties:
Total energy, eV per atom: -5.5188